The following is a PBE calculation of a relaxed YBr3 crystal, from the Alexandria database.

Calculated values
Calculated density   5.41 g/cm3
Energy relative to the elements, uncorrected   -1217 meV per atom
D(E_F)   0.000 states/eV per cell

Lattice parameters (Å, degrees): 7.3910 7.3910 7.3910 90.00 90.00 90.00
With the nearest neighbours (Å) after each atom.
Space group Fm-3m (No. 225)
Asymmetric unit:
Y 0.0000 0.0000 0.0000 (multiplicity 4)  8 Br 3.20
Br 0.0000 0.0000 0.5000 (multiplicity 4)  8 Br 3.20
Br 0.2500 0.2500 0.2500 (multiplicity 8)  4 Br 3.20, 4 Y 3.20


The following is a PBE calculation of a relaxed YBr3 crystal, from the Alexandria database.

Calculated values
Calculated density   3.81 g/cm3
Energy relative to the elements, uncorrected   -1706 meV per atom
D(E_F)   0.000 states/eV per cell

Lattice parameters (Å, degrees): 10.0725 10.0725 5.6512 90.00 90.00 90.00
With the nearest neighbours (Å) after each atom.
Space group I-42d (No. 122)
Asymmetric unit:
Y 0.0000 0.0000 0.0000 (multiplicity 4)  6 Br 2.83-2.84
Br 0.0000 0.0000 0.5000 (multiplicity 4)  2 Y 2.83
Br 0.1111 0.2500 0.1250 (multiplicity 8)  2 Y 2.84


The following is a PBE calculation of a relaxed YBr7 crystal, from the Alexandria database.

Calculated values
Calculated density   5.15 g/cm3
Energy relative to the elements, uncorrected   -201 meV per atom
D(E_F)   40.931 states/eV per cell

Lattice parameters (Å, degrees): 9.4188 9.4188 9.4188 90.00 90.00 90.00
With the nearest neighbours (Å) after each atom.
Space group Fm-3m (No. 225)
Asymmetric unit:
Y 0.0000 0.0000 0.0000 (multiplicity 4)  12 Br 3.33
Br 0.0000 0.0000 0.5000 (multiplicity 4)  12 Br 3.33
Br 0.0000 0.2500 0.2500 (multiplicity 24)  10 Br 3.33, 2 Y 3.33